No. 1
A geometry-optimized HoTm2Ti structure. Source: Alexandria via LeMat-Bulk, functional PBE.

Cell: 3.3595 3.3595 32.7042 Å, 90.00 90.00 120.00°
Space group R-3m (No. 166, hexagonal axes)
Symmetry-distinct sites (fractional):
Ho 0.0000 0.0000 0.0000 (multiplicity 3)
Tm 0.0000 0.0000 0.2420 (multiplicity 6)
Ti 0.0000 0.0000 0.5000 (multiplicity 3)

Calculated values
* formation energy from the elements: 182 meV/atom
* relative energy among the computed polymorphs: 0.031 eV/atom
* total magnetization: 0.00 Bohr magnetons per cell
* electronic total energy: -5.17 eV per atom
* density: 8.58 g/cm³


No. 2
A geometry-optimized HoTm2Ti structure. Source: Alexandria via LeMat-Bulk, functional PBE.

Cell: 4.739 4.739 4.753 Å, 90.00 90.00 90.00°
Space group P4/mmm (No. 123)
Symmetry-distinct sites (fractional):
Ho 0.000 0.000 0.000 (multiplicity 1)
Tm 0.000 0.500 0.500 (multiplicity 2)
Ti 0.500 0.500 0.000 (multiplicity 1)

Calculated values
* formation energy from the elements: 190 meV/atom
* relative energy among the computed polymorphs: 0.039 eV/atom
* total magnetization: 1.01 Bohr magnetons per cell
* electronic total energy: -5.16 eV per atom
* density: 8.57 g/cm³


Which formula does entry 2 have?
HoTm2Ti


Look up the total magnetization of the second one.
1.01 Bohr magnetons per cell


Number 2 is which compound?
HoTm2Ti